Entry from Alexandria: Er8Si3PS4 after structural relaxation (PBE).

```
data_Er8Si3PS4
_chemical_formula_sum 'Er24 Si9 P3 S12'
_space_group_name_H-M_alt 'R -3 m'
_space_group_IT_number 166
_space_group_name_Hall '-R 3 2"'
_cell_length_a 7.9568
_cell_length_b 7.9568
_cell_length_c 19.5239
_cell_angle_alpha 90.00
_cell_angle_beta 90.00
_cell_angle_gamma 120.00
loop_
_atom_site_label
_atom_site_type_symbol
_atom_site_fract_x
_atom_site_fract_y
_atom_site_fract_z
Er1 Er 0.0000 0.0000 0.2492
Er2 Er 0.0007 0.5004 0.2479
Si1 Si 0.0000 0.5000 0.5000
P1 P 0.0000 0.0000 0.5000
S1 S 0.0000 0.0000 0.0000
S2 S 0.0000 0.5000 0.0000
```

Properties
E_form (uncorrected)   -1.49 eV/atom
Electronic total energy   -295.6 eV per cell
N(E_F)   4.3 states/eV/f.u.
Size of the total moment   0.00 μB/cell